Entry 1:
{"formula": "CaPdW", "functional": "PBE", "state": "optimized geometry", "lattice": [[2.906, 0.000, 0.000], [1.372, 6.107, 0.000], [0.894, 1.283, 6.711]], "species": ["Ca", "Ca", "Pd", "Pd", "W", "W"], "frac_coords": [[0.000, 0.000, 0.000], [0.108, 0.190, 0.426], [0.681, 0.850, 0.688], [0.805, 0.521, 0.073], [0.256, 0.657, 0.392], [0.420, 0.456, 0.729]], "spacegroup": "No. 1"}

Entry 2:
{"formula": "TiZn2B2Ir5", "functional": "PBE", "state": "optimized geometry", "lattice": [[9.511, 0.000, 0.000], [0.000, 9.511, 0.000], [0.000, 0.000, 2.926]], "species": ["Ti", "Ti", "Zn", "Zn", "Zn", "Zn", "B", "B", "B", "B", "Ir", "Ir", "Ir", "Ir", "Ir", "Ir", "Ir", "Ir", "Ir", "Ir"], "frac_coords": [[0.000, 0.000, 0.000], [0.500, 0.500, 0.000], [0.177, 0.323, 0.000], [0.323, 0.823, 0.000], [0.677, 0.177, 0.000], [0.823, 0.677, 0.000], [0.124, 0.624, 0.000], [0.376, 0.124, 0.000], [0.624, 0.876, 0.000], [0.876, 0.376, 0.000], [0.000, 0.500, 0.500], [0.075, 0.786, 0.500], [0.214, 0.075, 0.500], [0.286, 0.575, 0.500], [0.425, 0.286, 0.500], [0.500, 0.000, 0.500], [0.575, 0.714, 0.500], [0.714, 0.425, 0.500], [0.786, 0.925, 0.500], [0.925, 0.214, 0.500]], "spacegroup": "No. 127"}

Entry 3:
{"formula": "CdMo2Os", "functional": "PBE", "state": "optimized geometry", "lattice": [[7.429, 0.000, 0.000], [0.000, 7.429, 0.000], [0.000, 0.000, 5.433]], "species": ["Cd", "Cd", "Cd", "Cd", "Mo", "Mo", "Mo", "Mo", "Mo", "Mo", "Mo", "Mo", "Os", "Os", "Os", "Os"], "frac_coords": [[0.000, 0.000, 0.000], [0.000, 0.500, 0.250], [0.500, 0.000, 0.750], [0.500, 0.500, 0.500], [0.198, 0.750, 0.625], [0.250, 0.198, 0.375], [0.250, 0.302, 0.875], [0.302, 0.750, 0.125], [0.698, 0.250, 0.125], [0.750, 0.698, 0.875], [0.750, 0.802, 0.375], [0.802, 0.250, 0.625], [0.000, 0.000, 0.500], [0.000, 0.500, 0.750], [0.500, 0.000, 0.250], [0.500, 0.500, 0.000]], "spacegroup": "No. 122"}

For the records above, the corresponding E_form values read 0.7 -3.3 3.3 eV/f.u..